1.
Entry from OQMD via LeMat-Bulk: a geometry-optimized NaFeAuSe2S structure (PBE-GGA).

a b c (Å): 7.1559 7.1559 9.9897
angles (deg): 90.00 90.00 150.43
Last column: magnetic moment on the atom in μB.
Atoms (fractional coordinates):
S1 0.0505 0.9495 0.2500  0.10
Na1 0.2759 0.7241 0.7500  0.00
Se1 0.6184 0.3816 0.9941  -0.04
Fe1 0.0000 0.0000 0.5000  2.27
Se2 0.3816 0.6184 0.0059  -0.04
Se3 0.3816 0.6184 0.4941  -0.04
Au1 0.6029 0.3971 0.7500  0.04
Au2 0.3971 0.6029 0.2500  0.04
S2 0.9495 0.0505 0.7500  0.10
Se4 0.6184 0.3816 0.5059  -0.04
Fe2 0.0000 0.0000 0.0000  2.28
Na2 0.7241 0.2759 0.2500  0.00

---

2.
Entry from OQMD via LeMat-Bulk: a geometry-optimized Zn4As3 structure (PBE-GGA).

Output
Offset from the most stable computed form = 13 kJ/mol of formula units

a b c (Å): 8.3146 8.3173 4.4696
angles (deg): 90.00 90.00 59.99
Atoms (fractional coordinates):
As1 0.0097 0.3226 0.0000
Zn1 0.0946 0.5242 0.5000
Zn2 0.5611 0.0904 0.0000
Zn3 0.0631 0.9896 0.0000
As2 0.3817 0.4383 0.0000
As3 0.2603 0.8337 0.5000
Zn4 0.6617 0.4912 0.0000
Zn5 0.4290 0.8570 0.0000
Zn6 0.9101 0.2486 0.5000
As4 0.6206 0.6887 0.5000
Zn7 0.5553 0.3388 0.5000
As5 0.4052 0.0488 0.5000
Zn8 0.8199 0.9842 0.5000
As6 0.8943 0.8104 0.0000

---

3.
Entry from OQMD via LeMat-Bulk: a geometry-optimized K2CuF4 structure (PBE-GGA).

Output
Offset from the most stable computed form = 1 kJ/mol of formula units

a b c (Å): 6.9819 5.5959 5.5963
angles (deg): 90.00 90.00 113.62
Atoms (fractional coordinates):
F1 0.0000 0.7500 0.2500
Cu1 0.0000 0.5000 0.5000
F2 0.6826 0.8413 0.0000
Cu2 0.0000 0.0000 0.0000
F3 0.0000 0.7500 0.7500
F4 0.3174 0.6587 0.5000
K1 0.2923 0.6461 0.0000
K2 0.2923 0.1461 0.5000
F5 0.6826 0.3413 0.5000
F6 0.0000 0.2500 0.7500
K3 0.7077 0.3539 0.0000
F7 0.3174 0.1587 0.0000
K4 0.7077 0.8539 0.5000
F8 0.0000 0.2500 0.2500

---

4.
Entry from OQMD via LeMat-Bulk: a geometry-optimized PaGaTe structure (PBE-GGA).

Output
Offset from the most stable computed form = 0 kJ/mol of formula units

a b c (Å): 4.9781 4.9781 4.9781
angles (deg): 60.00 60.00 60.00
Atoms (fractional coordinates):
Ga1 0.2500 0.2500 0.2500
Pa1 0.0000 0.0000 0.0000
Te1 0.7500 0.7500 0.7500

---

5.
Entry from OQMD via LeMat-Bulk: a geometry-optimized HfZrTcH2 structure (PBE-GGA).

a b c (Å): 6.2525 6.2525 6.2525
angles (deg): 149.52 149.52 43.65
Atoms (fractional coordinates):
Tc1 0.0021 0.0021 0.0000
Hf1 0.6375 0.6375 0.0000
H1 0.2492 0.7492 0.5000
H2 0.7492 0.2492 0.5000
Zr1 0.3620 0.3620 0.0000

---

6.
Entry from OQMD via LeMat-Bulk: a geometry-optimized HfZnNO structure (PBE-GGA).

Output
Offset from the most stable computed form = 12 kJ/mol of formula units

a b c (Å): 4.4911 4.4911 4.4137
angles (deg): 90.00 90.00 90.00
Atoms (fractional coordinates):
Zn1 0.0000 0.5000 0.0007
O1 0.0000 0.0000 0.0000
N1 0.0000 0.5000 0.5044
N2 0.5000 0.0000 0.4956
Hf1 0.0000 0.0000 0.5000
O2 0.5000 0.5000 0.0000
Hf2 0.5000 0.5000 0.5000
Zn2 0.5000 0.0000 0.9993

---

7.
Entry from OQMD via LeMat-Bulk: a geometry-optimized HgTePdO structure (PBE-GGA).

Output
Offset from the most stable computed form = 89 kJ/mol of formula units

a b c (Å): 4.2776 4.2776 8.7384
angles (deg): 90.00 90.00 90.00
Atoms (fractional coordinates):
Hg1 0.2500 0.2500 0.8226
Te1 0.2500 0.2500 0.1765
Pd1 0.7500 0.7500 0.5162
O1 0.7500 0.2500 0.5000
O2 0.2500 0.7500 0.5000
Hg2 0.7500 0.7500 0.1774
Te2 0.7500 0.7500 0.8235
Pd2 0.2500 0.2500 0.4838

---

8.
Entry from OQMD via LeMat-Bulk: a geometry-optimized PrNbHg structure (PBE-GGA).

Output
Offset from the most stable computed form = 0 kJ/mol of formula units
Energy of formation = 0.63 eV/atom

a b c (Å): 4.9708 4.9708 4.9708
angles (deg): 60.00 60.00 60.00
Last column: magnetic moment on the atom in μB.
Atoms (fractional coordinates):
Hg1 0.0000 0.0000 0.0000  0.01
Nb1 0.2500 0.2500 0.2500  1.74
Pr1 0.7500 0.7500 0.7500  0.12

---

9.
Entry from OQMD via LeMat-Bulk: a geometry-optimized LuNiBAu structure (PBE-GGA).

Output
Offset from the most stable computed form = 0 kJ/mol of formula units

a b c (Å): 4.3577 4.3577 4.3577
angles (deg): 60.00 60.00 60.00
Atoms (fractional coordinates):
Lu1 0.2500 0.2500 0.2500
Ni1 0.5000 0.5000 0.5000
Au1 0.7500 0.7500 0.7500
B1 0.0000 0.0000 0.0000

---

10.
Entry from OQMD via LeMat-Bulk: a geometry-optimized NbZnOs structure (PBE-GGA).

Output
Energy of formation = 0.59 eV/atom

a b c (Å): 4.2978 4.2978 4.2978
angles (deg): 60.00 60.00 60.00
Atoms (fractional coordinates):
Nb1 0.0000 0.0000 0.0000
Os1 0.2500 0.2500 0.2500
Zn1 0.7500 0.7500 0.7500

---

11.
Entry from OQMD via LeMat-Bulk: a geometry-optimized NdSmTeO2 structure (PBE-GGA).

Output
Offset from the most stable computed form = 0 kJ/mol of formula units

a b c (Å): 6.9952 6.9952 6.9952
angles (deg): 146.57 146.57 48.00
Atoms (fractional coordinates):
O1 0.7515 0.2515 0.5000
Sm1 0.3394 0.3394 0.0000
O2 0.2515 0.7515 0.5000
Te1 0.9993 0.9993 0.0000
Nd1 0.6584 0.6584 0.0000

---

12.
Entry from OQMD via LeMat-Bulk: a geometry-optimized KTmSnSe3 structure (PBE-GGA).

Output
Offset from the most stable computed form = 66 kJ/mol of formula units

a b c (Å): 8.8119 8.8119 11.6794
angles (deg): 90.00 90.00 153.26
Atoms (fractional coordinates):
Se1 0.1130 0.8870 0.0006
Se2 0.8870 0.1130 0.9994
Tm1 0.5000 0.5000 0.0000
Tm2 0.5000 0.5000 0.5000
Se3 0.8870 0.1130 0.5006
K1 0.1841 0.8159 0.2500
Se4 0.1130 0.8870 0.4994
Sn1 0.8808 0.1192 0.2500
K2 0.8159 0.1841 0.7500
Sn2 0.1192 0.8808 0.7500
Se5 0.5101 0.4899 0.7500
Se6 0.4899 0.5101 0.2500

---

13.
Entry from OQMD via LeMat-Bulk: a geometry-optimized TbHo2PdPt2Pb3 structure (PBE-GGA).

a b c (Å): 3.9372 7.7710 7.7710
angles (deg): 120.12 90.00 90.00
Atoms (fractional coordinates):
Ho1 0.0000 0.4066 0.0000
Pt1 0.5000 0.6670 0.3313
Tb1 0.0000 0.5936 0.5936
Pt2 0.5000 0.3313 0.6670
Pb1 0.5000 0.0000 0.7380
Pb2 0.5000 0.2621 0.2621
Pb3 0.5000 0.7380 0.0000
Ho2 0.0000 0.0000 0.4066
Pd1 0.0000 0.0015 0.0015

---

14.
Entry from OQMD via LeMat-Bulk: a geometry-optimized ScNbAs2 structure (PBE-GGA).

a b c (Å): 4.6850 4.6850 4.6850
angles (deg): 60.00 60.00 60.00
Last column: magnetic moment on the atom in μB.
Atoms (fractional coordinates):
As1 0.7500 0.7500 0.7500  -0.05
Nb1 0.0000 0.0000 0.0000  1.06
As2 0.5000 0.5000 0.5000  -0.06
Sc1 0.2500 0.2500 0.2500  0.43

---

15.
Entry from OQMD via LeMat-Bulk: a geometry-optimized CdAgB4 structure (PBE-GGA).

Output
Offset from the most stable computed form = 7 kJ/mol of formula units

a b c (Å): 3.0814 3.0814 7.9578
angles (deg): 90.00 90.00 120.00
Atoms (fractional coordinates):
Cd1 0.0000 0.0000 0.5000
B1 0.6667 0.3333 0.7512
Ag1 0.0000 0.0000 0.0000
B2 0.3333 0.6667 0.2488
B3 0.6667 0.3333 0.2488
B4 0.3333 0.6667 0.7512

---

16.
Entry from OQMD via LeMat-Bulk: a geometry-optimized LaHo2Mg3Tl2Cd structure (PBE-GGA).

a b c (Å): 4.6915 7.6750 7.6750
angles (deg): 121.26 90.00 90.00
Atoms (fractional coordinates):
Tl1 0.5000 0.6745 0.3311
Ho1 0.0000 0.0027 0.5776
Tl2 0.5000 0.3311 0.6745
Mg1 0.5000 0.9987 0.2382
La1 0.0000 0.4267 0.4267
Mg2 0.5000 0.7611 0.7611
Mg3 0.5000 0.2382 0.9987
Cd1 0.0000 0.9894 0.9894
Ho2 0.0000 0.5776 0.0027

---

17.
Entry from OQMD via LeMat-Bulk: a geometry-optimized BeHgPd structure (PBE-GGA).

a b c (Å): 4.0712 4.0712 4.0712
angles (deg): 60.00 60.00 60.00
Atoms (fractional coordinates):
Be1 0.0000 0.0000 0.0000
Hg1 0.2500 0.2500 0.2500
Pd1 0.7500 0.7500 0.7500

---

18.
Entry from OQMD via LeMat-Bulk: a geometry-optimized MgUCo structure (PBE-GGA).

a b c (Å): 4.4422 4.4422 4.4422
angles (deg): 60.00 60.00 60.00
Atoms (fractional coordinates):
Co1 0.0000 0.0000 0.0000
U1 0.7500 0.7500 0.7500
Mg1 0.2500 0.2500 0.2500

---

19.
Entry from OQMD via LeMat-Bulk: a geometry-optimized Tb2TmIn3CuAu2 structure (PBE-GGA).

a b c (Å): 3.8526 7.7667 7.7667
angles (deg): 119.79 90.00 90.00
Atoms (fractional coordinates):
Tb1 0.0000 0.5955 0.0000
In1 0.5000 0.7500 0.7500
Cu1 0.0000 0.0011 0.0011
Au1 0.5000 0.6636 0.3347
Tm1 0.0000 0.4036 0.4036
In2 0.5000 0.0011 0.2503
In3 0.5000 0.2503 0.0011
Au2 0.5000 0.3347 0.6636
Tb2 0.0000 0.0000 0.5955

---

20.
Entry from OQMD via LeMat-Bulk: a geometry-optimized Y2Cd structure (PBE-GGA).

Output
Energy of formation = -0.25 eV/atom

a b c (Å): 8.7022 8.7022 5.3992
angles (deg): 90.00 90.00 155.63
Atoms (fractional coordinates):
Y1 0.0880 0.9120 0.2500
Y2 0.9120 0.0880 0.7500
Y3 0.7766 0.2234 0.2500
Cd1 0.4326 0.5674 0.2500
Y4 0.2234 0.7766 0.7500
Cd2 0.5674 0.4326 0.7500

---

Number 1: final energy -50.55 eV per cell. Number 2: final energy -36.50 eV per cell. Number 3: final energy -58.28 eV per cell. Number 4: final energy -15.84 eV per cell. Number 5: final energy -38.10 eV per cell. Number 6: final energy -60.07 eV per cell. Number 7: final energy -27.59 eV per cell. Number 8: final energy -13.27 eV per cell. Number 9: final energy -19.71 eV per cell. Number 10: final energy -20.80 eV per cell. Number 11: final energy -37.02 eV per cell. Number 12: final energy -54.14 eV per cell. Number 13: final energy -49.54 eV per cell. Number 14: final energy -25.77 eV per cell. Number 15: final energy -27.29 eV per cell. Number 16: final energy -27.29 eV per cell. Number 17: final energy -9.27 eV per cell. Number 18: final energy -18.75 eV per cell. Number 19: final energy -38.19 eV per cell. Number 20: final energy -29.12 eV per cell.